Record 1
Entry from the Alexandria database: crystalline CaSc2Ni at its relaxed geometry (GGA-PBE).

```
CaSc2Ni
1.0
-1.6762 2.6463 5.2116
1.6762 -2.6463 5.2116
1.6762 2.6463 -5.2116
Ca Sc Ni
1 2 1
Direct
0.0000 0.0000 0.0000 Ca
0.3082 0.8082 0.5000 Sc
0.6918 0.1918 0.5000 Sc
0.5000 0.5000 0.0000 Ni
```

Properties
ΔE to the lowest computed polymorph: 0.0491 eV/atom
Formation energy from the elements: -0.08 eV/atom
E_tot: -5.19 eV per atom
Space-group type: No. 71
Fermi-level density of states: 5.15 states/eV/cell


Record 2
Entry from the Alexandria database: crystalline CaScNi3 at its relaxed geometry (GGA-PBE).

```
CaScNi3
1.0
4.6089 0.0000 0.0000
0.0000 4.6089 0.0000
0.0000 0.0000 4.6089
Ca Sc Ni
1 1 3
Direct
0.0000 0.0000 0.0000 Ca
0.5000 0.5000 0.5000 Sc
0.0000 0.5000 0.5000 Ni
0.5000 0.0000 0.5000 Ni
0.5000 0.5000 0.0000 Ni
```

Properties
ΔE to the lowest computed polymorph: 0.0000 eV/atom
Formation energy from the elements: 0.40 eV/atom
E_tot: -4.73 eV per atom
Space-group type: No. 221
Fermi-level density of states: 3.64 states/eV/cell


Record 3
Entry from the Alexandria database: crystalline CaSc2Ni9 at its relaxed geometry (GGA-PBE).

```
CaSc2Ni9
1.0
2.4495 1.4142 7.8995
-2.4495 1.4142 7.8995
0.0000 -2.8284 7.8995
Ca Sc Ni
1 2 9
Direct
0.0000 0.0000 0.0000 Ca
0.1405 0.1405 0.1405 Sc
0.8595 0.8595 0.8595 Sc
0.0814 0.5866 0.5866 Ni
0.3331 0.3331 0.3331 Ni
0.4134 0.4134 0.9186 Ni
0.4134 0.9186 0.4134 Ni
0.5000 0.5000 0.5000 Ni
0.5866 0.0814 0.5866 Ni
0.5866 0.5866 0.0814 Ni
0.6669 0.6669 0.6669 Ni
0.9186 0.4134 0.4134 Ni
```

Properties
Formation energy from the elements: -0.35 eV/atom
E_tot: -5.91 eV per atom
Space-group type: No. 166
Fermi-level density of states: 14.08 states/eV/cell


Record 4
Entry from the Alexandria database: crystalline Ca2ScNi at its relaxed geometry (GGA-PBE).

```
Ca2ScNi
1.0
0.0000 3.6369 3.6369
3.6369 0.0000 3.6369
3.6369 3.6369 0.0000
Ca Sc Ni
2 1 1
Direct
0.0000 0.0000 0.0000 Ca
0.2500 0.2500 0.2500 Ca
0.7500 0.7500 0.7500 Sc
0.5000 0.5000 0.5000 Ni
```

Properties
ΔE to the lowest computed polymorph: 0.3758 eV/atom
Formation energy from the elements: 0.27 eV/atom
E_tot: -3.75 eV per atom
Space-group type: No. 216
Fermi-level density of states: 5.75 states/eV/cell


Record 5
Entry from the Alexandria database: crystalline Ca2ScNi at its relaxed geometry (GGA-PBE).

```
Ca2ScNi
1.0
-1.6954 1.9705 8.4831
1.6954 -1.9705 8.4831
1.6954 1.9705 -8.4831
Ca Sc Ni
2 1 1
Direct
0.1594 0.1594 0.0000 Ca
0.8406 0.8406 0.0000 Ca
0.5000 0.0000 0.5000 Sc
0.0000 0.5000 0.5000 Ni
```

Properties
ΔE to the lowest computed polymorph: 0.0835 eV/atom
Formation energy from the elements: -0.02 eV/atom
E_tot: -4.05 eV per atom
Space-group type: No. 71
Fermi-level density of states: 3.43 states/eV/cell


Record 6
Entry from the Alexandria database: crystalline CaSc2Ni at its relaxed geometry (GGA-PBE).

```
CaSc2Ni
1.0
-3.9987 3.9987 3.0676
3.9987 -3.9987 3.0676
3.9987 3.9987 -3.0676
Ca Sc Ni
2 4 2
Direct
0.0000 0.0000 0.0000 Ca
0.7500 0.2500 0.5000 Ca
0.2104 0.6250 0.0854 Sc
0.3750 0.4604 0.5854 Sc
0.5396 0.1250 0.9146 Sc
0.8750 0.7896 0.4146 Sc
0.2500 0.7500 0.5000 Ni
0.5000 0.5000 0.0000 Ni
```

Properties
ΔE to the lowest computed polymorph: 0.1952 eV/atom
Formation energy from the elements: 0.06 eV/atom
E_tot: -5.05 eV per atom
Space-group type: No. 122
Fermi-level density of states: 10.84 states/eV/cell


Record 7
Entry from the Alexandria database: crystalline CaSc2Ni at its relaxed geometry (GGA-PBE).

```
CaSc2Ni
1.0
5.8737 -1.7097 0.0000
5.8737 1.7097 0.0000
-2.1512 0.0000 4.5790
Ca Sc Ni
1 2 1
Direct
0.0000 0.0000 0.0000 Ca
0.6126 0.6126 0.6108 Sc
0.8007 0.8007 0.3021 Sc
0.2840 0.2840 0.7390 Ni
```

Properties
ΔE to the lowest computed polymorph: 0.1193 eV/atom
Formation energy from the elements: -0.01 eV/atom
E_tot: -5.12 eV per atom
Space-group type: No. 8
Fermi-level density of states: 5.38 states/eV/cell


Record 8
Entry from the Alexandria database: crystalline CaScNi at its relaxed geometry (GGA-PBE).

```
CaScNi
1.0
6.0627 -1.8083 0.0000
6.0627 1.8083 0.0000
-4.7103 0.0000 6.4036
Ca Sc Ni
2 2 2
Direct
0.0000 0.0000 0.0000 Ca
0.2425 0.2425 0.5340 Ca
0.4017 0.4017 0.2911 Sc
0.6501 0.6501 0.8304 Sc
0.7296 0.7296 0.2217 Ni
0.9711 0.9711 0.5782 Ni
```

Properties
ΔE to the lowest computed polymorph: 0.0426 eV/atom
Formation energy from the elements: -0.17 eV/atom
E_tot: -4.88 eV per atom
Space-group type: No. 8
Fermi-level density of states: 5.11 states/eV/cell


Record 9
Entry from the Alexandria database: crystalline CaSc2Ni at its relaxed geometry (GGA-PBE).

```
CaSc2Ni
1.0
1.8585 1.0730 8.8758
-1.8585 1.0730 8.8758
0.0000 -2.1460 8.8758
Ca Sc Ni
1 2 1
Direct
0.0000 0.0000 0.0000 Ca
0.2177 0.2177 0.2177 Sc
0.7823 0.7823 0.7823 Sc
0.5000 0.5000 0.5000 Ni
```

Properties
ΔE to the lowest computed polymorph: 0.0750 eV/atom
Formation energy from the elements: -0.06 eV/atom
E_tot: -5.17 eV per atom
Space-group type: No. 166
Fermi-level density of states: 3.99 states/eV/cell


Record 10
Entry from the Alexandria database: crystalline CaSc2Ni at its relaxed geometry (GGA-PBE).

```
CaSc2Ni
1.0
-2.1147 2.1147 4.9091
2.1147 -2.1147 4.9091
2.1147 2.1147 -4.9091
Ca Sc Ni
1 2 1
Direct
0.0000 0.0000 0.0000 Ca
0.5000 0.5000 0.0000 Sc
0.7500 0.2500 0.5000 Sc
0.2500 0.7500 0.5000 Ni
```

Properties
ΔE to the lowest computed polymorph: 0.3821 eV/atom
Formation energy from the elements: 0.25 eV/atom
E_tot: -4.86 eV per atom
Space-group type: No. 119
Fermi-level density of states: 6.31 states/eV/cell


Record 11
Entry from the Alexandria database: crystalline CaScNi at its relaxed geometry (GGA-PBE).

```
CaScNi
1.0
-1.6758 1.6758 6.0551
1.6758 -1.6758 6.0551
1.6758 1.6758 -6.0551
Ca Sc Ni
1 1 1
Direct
0.0000 0.0000 0.0000 Ca
0.7385 0.7385 0.0000 Sc
0.3377 0.3377 0.0000 Ni
```

Properties
ΔE to the lowest computed polymorph: 0.0574 eV/atom
Formation energy from the elements: -0.16 eV/atom
E_tot: -4.86 eV per atom
Space-group type: No. 107
Fermi-level density of states: 3.29 states/eV/cell


Record 12
Entry from the Alexandria database: crystalline Ca3ScNi at its relaxed geometry (GGA-PBE).

```
Ca3ScNi
1.0
5.4206 0.0000 0.0000
0.0000 5.4206 0.0000
0.0000 0.0000 5.4206
Ca Sc Ni
3 1 1
Direct
0.0000 0.0000 0.5000 Ca
0.0000 0.5000 0.0000 Ca
0.5000 0.0000 0.0000 Ca
0.5000 0.5000 0.5000 Sc
0.0000 0.0000 0.0000 Ni
```

Properties
ΔE to the lowest computed polymorph: 0.0000 eV/atom
Formation energy from the elements: 0.19 eV/atom
E_tot: -3.43 eV per atom
Space-group type: No. 221
Fermi-level density of states: 4.30 states/eV/cell